CsMnSN2: single point on PBEsol structure, meta-GGA SCAN.

Its density of states at the Fermi level is 2.2 states/eV per cell. The value obtained for the total energy is -73.46 eV per cell. The value obtained for the uncorrected formation energy is 10.816 eV/f.u.

The space group is P4/mmm (No. 123) and the conventional cell measures 4.112, 4.112 and 6.517 Å, with angles of 90.00, 90.00 and 90.00 degrees. The distinct sites, in fractional coordinates, are Cs at (0.000, 0.000, 0.000), Mn at (0.500, 0.500, 0.500), S at (0.000, 0.000, 0.500) and N at (0.000, 0.500, 0.000).